Record 1
Entry from Alexandria via LeMat-Bulk: a relaxed CoNiPt2Rh2 crystal (PBE-GGA).

Geometry as POSCAR:
```
CoNiPt2Rh2
1.0
5.320 0.000 0.000
0.000 7.352 0.000
0.000 0.000 4.480
Co Ni Pt Rh
2 2 4 4
Cartesian
0.000 0.000 0.000
2.660 3.676 2.240
0.000 3.676 2.240
2.660 0.000 0.000
0.713 2.496 0.000
1.947 6.172 2.240
3.373 1.179 2.240
4.607 4.855 0.000
0.724 1.135 2.240
1.936 4.811 0.000
3.384 2.541 0.000
4.596 6.217 2.240
```

Values from the calculation:
space group = No. 58
density of states at the Fermi level = 1.936 states/eV per atom
formation enthalpy at 0 K = 0.2480 eV per atom

---

Record 2
Entry from Alexandria via LeMat-Bulk: a relaxed Sc4CoNi2Pt crystal (PBE-GGA).

Geometry as POSCAR:
```
Sc4CoNi2Pt
1.0
2.263 1.306 7.360
-2.263 1.306 7.360
0.000 -2.613 7.360
Sc Co Ni Pt
4 1 2 1
Cartesian
0.000 0.000 2.679
0.000 0.000 8.211
0.000 0.000 13.869
0.000 0.000 19.401
0.000 0.000 0.000
0.000 0.000 5.530
0.000 0.000 16.550
0.000 0.000 11.040
```

Values from the calculation:
space group = No. 166
density of states at the Fermi level = 0.762 states/eV per atom
formation enthalpy at 0 K = -0.6592 eV per atom

---

Record 3
Entry from Alexandria via LeMat-Bulk: a relaxed Co2NiPtSe6 crystal (PBE-GGA).

Geometry as POSCAR:
```
Co2NiPtSe6
1.0
5.186 -5.898 0.000
5.186 5.898 0.000
-2.250 0.000 5.961
Co Ni Pt Se
4 2 2 12
Cartesian
0.747 1.044 1.399
-0.378 -1.044 4.379
8.501 1.044 1.582
7.375 -1.044 4.562
3.499 0.981 4.471
4.624 -0.981 1.490
4.624 2.713 1.490
3.499 -2.713 4.471
3.268 4.752 2.515
1.824 2.607 5.011
5.980 4.752 0.466
3.005 0.822 2.080
5.173 2.607 3.930
1.880 -0.822 5.061
6.243 0.822 0.900
2.949 -2.607 2.031
5.118 -0.822 3.881
2.143 -4.752 5.495
6.298 -2.607 0.950
4.855 -4.752 3.446
```

Values from the calculation:
space group = No. 15
density of states at the Fermi level = 0.635 states/eV per atom
raw formation energy = -0.22 eV/atom

---

Record 4
Entry from Alexandria via LeMat-Bulk: a relaxed Ta2CoNi7Pt2 crystal (PBE-GGA).

Geometry as POSCAR:
```
Ta2CoNi7Pt2
1.0
-1.666 1.666 14.436
1.666 -1.666 14.436
1.666 1.666 -14.436
Ta Co Ni Pt
2 1 7 2
Cartesian
0.000 0.000 3.897
0.000 0.000 24.976
0.000 0.000 14.436
0.000 0.000 0.000
1.666 0.000 1.878
0.000 0.000 6.624
1.666 0.000 12.558
0.000 1.666 1.878
0.000 0.000 22.249
0.000 1.666 12.558
0.000 0.000 9.164
0.000 0.000 19.708
```

Values from the calculation:
space group = No. 139
density of states at the Fermi level = 1.132 states/eV per atom
formation enthalpy at 0 K = -0.0600 eV per atom

---

Number 1: total moment 7.95 μB per cell. Number 2: total moment 0.00 μB per cell. Number 3: total moment 0.00 μB per cell. Number 4: total moment 3.07 μB per cell.